{
  "formula": "KCa3Mg",
  "functional": "PBE",
  "state": "relaxed",
  "relative_energy_mev_per_atom": 0,
  "ef_mev_per_atom": 252,
  "mass_density_g_cm3": 1.23,
  "magmom_total_mub_per_cell": 0.00,
  "cell": [[6.281, 0.000, 0.000], [0.000, 6.281, 0.000], [0.000, 0.000, 6.281]],
  "species": ["Mg", "Ca", "Ca", "Ca", "K"],
  "fractional_positions": [[0.000, 0.000, 0.000], [0.000, 0.500, 0.000], [0.000, 0.000, 0.500], [0.500, 0.000, 0.000], [0.500, 0.500, 0.500]]
}